No. 1
Below is a relaxed ErLu2Cu4Si2Ge2 crystal, with properties calculated at the GGA-PBE level.

Cell lengths 7.838, 7.838, 7.838 Å; angles 149.52, 130.47, 59.27 degrees
Fractional coordinates of all 11 atoms:
Cu1 0.973 0.664 0.308
Cu2 0.027 0.336 0.692
Cu3 0.356 0.664 0.692
Cu4 0.644 0.336 0.308
Ge1 0.782 0.782 0.000
Ge2 0.218 0.218 0.000
Si1 0.684 0.500 0.184
Si2 0.316 0.500 0.816
Lu1 0.372 0.872 0.500
Lu2 0.628 0.128 0.500
Er1 0.000 0.000 0.000

Values from the calculation:
Final energy in eV/atom: -5.04
Excess energy over the best structure of this formula in the dataset in meV per atom: 10.7

---

No. 2
Below is a relaxed Er2LuCu4Si2Ge2 crystal, with properties calculated at the GGA-PBE level.

Cell lengths 7.863, 7.863, 7.863 Å; angles 149.43, 130.83, 59.01 degrees
Fractional coordinates of all 11 atoms:
Si1 0.685 0.500 0.185
Si2 0.315 0.500 0.815
Ge1 0.216 0.216 0.000
Ge2 0.784 0.784 0.000
Cu1 0.354 0.663 0.691
Cu2 0.646 0.337 0.309
Cu3 0.027 0.337 0.691
Cu4 0.973 0.663 0.309
Lu1 0.000 0.000 0.000
Er1 0.371 0.871 0.500
Er2 0.629 0.129 0.500

Values from the calculation:
Final energy in eV/atom: -5.04

---

No. 3
Below is a relaxed ErLu2Cu4Si2Ge2 crystal, with properties calculated at the GGA-PBE level.

Cell lengths 7.838, 7.838, 7.838 Å; angles 149.83, 130.33, 59.23 degrees
Fractional coordinates of all 11 atoms:
Ge1 0.807 0.500 0.307
Ge2 0.193 0.500 0.693
Cu1 0.517 0.325 0.192
Cu2 0.483 0.675 0.808
Cu3 0.133 0.325 0.808
Cu4 0.867 0.675 0.192
Si1 0.717 0.217 0.500
Si2 0.283 0.783 0.500
Lu1 0.871 0.871 0.000
Lu2 0.129 0.129 0.000
Er1 0.500 0.000 0.500

Values from the calculation:
Final energy in eV/atom: -5.05
Excess energy over the best structure of this formula in the dataset in meV per atom: 0.0

---

Which formula does entry 1 have? ErLu2Cu4Si2Ge2